Record 1
The following is a PBE calculation of an optimized crystal structure of Ba2Sr4Li, from Alexandria via LeMat-Bulk.

a b c (Å): 4.3429 8.1597 11.7779
angles (deg): 110.94 100.62 90.00
Sites, in units of the cell vectors:
Ba 0.2441 0.2418 0.4883
Ba 0.7559 0.7582 0.5117
Sr 0.5886 0.3000 0.1773
Sr 0.4114 0.7000 0.8227
Sr 0.9159 0.2526 0.8317
Sr 0.0841 0.7474 0.1683
Li 0.0000 0.0000 0.0000

Output
Crystal system: monoclinic
N(E_F) (states/eV per cell): 9.06
Energy above the lowest structure with this stoichiometry (meV/atom): 0

---

Record 2
The following is a PBE calculation of an optimized crystal structure of Zr2Ni21P6, from Alexandria via LeMat-Bulk.

a b c (Å): 7.8637 7.8637 7.8637
angles (deg): 60.00 60.00 60.00
Sites, in units of the cell vectors:
P 0.2597 0.7403 0.7403
P 0.2597 0.7403 0.2597
P 0.7403 0.7403 0.2597
P 0.7403 0.2597 0.2597
P 0.7403 0.2597 0.7403
P 0.2597 0.2597 0.7403
Ni 0.3499 0.0000 0.6501
Ni 0.0000 0.3499 0.6501
Ni 0.0000 0.6501 0.3499
Ni 0.3499 0.0000 0.0000
Ni 0.0000 0.0000 0.3499
Ni 0.6149 0.6149 0.6149
Ni 0.3851 0.3851 0.8448
Ni 0.3851 0.8448 0.3851
Ni 0.3499 0.6501 0.0000
Ni 0.0000 0.0000 0.6501
Ni 0.0000 0.3499 0.0000
Ni 0.6149 0.1552 0.6149
Ni 0.0000 0.6501 0.0000
Ni 0.6501 0.0000 0.0000
Ni 0.6501 0.3499 0.0000
Ni 0.0000 0.0000 0.0000
Ni 0.1552 0.6149 0.6149
Ni 0.6501 0.0000 0.3499
Ni 0.3851 0.3851 0.3851
Ni 0.8448 0.3851 0.3851
Ni 0.6149 0.6149 0.1552
Zr 0.2500 0.2500 0.2500
Zr 0.7500 0.7500 0.7500

Output
Crystal system: cubic
Total energy (eV per atom): -6.3917
N(E_F) (states/eV per cell): 7.64

---

Record 3
The following is a PBE calculation of an optimized crystal structure of Sc8Ga2Pt, from Alexandria via LeMat-Bulk.

a b c (Å): 4.6129 6.1237 8.9806
angles (deg): 103.15 104.88 90.00
Sites, in units of the cell vectors:
Sc 0.7871 0.6789 0.5741
Sc 0.6550 0.9879 0.3099
Sc 0.2129 0.3211 0.4259
Sc 0.5912 0.4644 0.1823
Sc 0.9761 0.2239 0.9521
Sc 0.3450 0.0121 0.6901
Sc 0.0239 0.7761 0.0479
Sc 0.4088 0.5356 0.8177
Ga 0.8158 0.2469 0.6316
Ga 0.1842 0.7531 0.3684
Pt 0.5000 0.0000 0.0000

Output
Crystal system: monoclinic
Total energy (eV per atom): -6.1792
N(E_F) (states/eV per cell): 12.33

---

Question: What is the N(E_F) in the second record?
Answer: 7.64 states/eV per cell

---

Question: What is the N(E_F) in the first record?
Answer: 9.06 states/eV per cell

---

What did the second record say?
The following is a PBE calculation of an optimized crystal structure of Zr2Ni21P6, from Alexandria via LeMat-Bulk.

a b c (Å): 7.8637 7.8637 7.8637
angles (deg): 60.00 60.00 60.00
Sites, in units of the cell vectors:
P 0.2597 0.7403 0.7403
P 0.2597 0.7403 0.2597
P 0.7403 0.7403 0.2597
P 0.7403 0.2597 0.2597
P 0.7403 0.2597 0.7403
P 0.2597 0.2597 0.7403
Ni 0.3499 0.0000 0.6501
Ni 0.0000 0.3499 0.6501
Ni 0.0000 0.6501 0.3499
Ni 0.3499 0.0000 0.0000
Ni 0.0000 0.0000 0.3499
Ni 0.6149 0.6149 0.6149
Ni 0.3851 0.3851 0.8448
Ni 0.3851 0.8448 0.3851
Ni 0.3499 0.6501 0.0000
Ni 0.0000 0.0000 0.6501
Ni 0.0000 0.3499 0.0000
Ni 0.6149 0.1552 0.6149
Ni 0.0000 0.6501 0.0000
Ni 0.6501 0.0000 0.0000
Ni 0.6501 0.3499 0.0000
Ni 0.0000 0.0000 0.0000
Ni 0.1552 0.6149 0.6149
Ni 0.6501 0.0000 0.3499
Ni 0.3851 0.3851 0.3851
Ni 0.8448 0.3851 0.3851
Ni 0.6149 0.6149 0.1552
Zr 0.2500 0.2500 0.2500
Zr 0.7500 0.7500 0.7500

Output
Crystal system: cubic
Total energy (eV per atom): -6.3917
N(E_F) (states/eV per cell): 7.64